Entry from the Alexandria database: a relaxed NaLiOsO4 crystal (GGA-PBE).

Formation energy without anion corrections ... -1.355 eV/atom

Lattice parameters (Å, degrees): 5.458 5.458 7.428 90.00 90.00 90.00
Space group I-4 (No. 82)
Asymmetric unit:
Na: 0.000 0.000 0.000 [2 per cell]
Li: 0.000 0.500 0.250 [2 per cell]
Os: 0.000 0.000 0.500 [2 per cell]
O: 0.154 0.733 0.416 [8 per cell]

***

Entry from the Alexandria database: a relaxed K2InCl3 crystal (GGA-PBE).

Energy relative to the lowest polymorph listed for this composition ... 0.227 eV per formula unit
Formation energy without anion corrections ... -1.536 eV/atom

Lattice parameters (Å, degrees): 15.753 9.645 6.327 90.00 90.00 90.00
Space group Cmc2_1 (No. 36)
Asymmetric unit:
K: 0.167 0.162 0.000 [8 per cell]
In: 0.000 0.336 0.500 [4 per cell]
Cl: 0.000 0.327 0.993 [4 per cell]
Cl: 0.166 0.162 0.500 [8 per cell]

***

Entry from the Alexandria database: a relaxed SrCdS2O6 crystal (GGA-PBE).

Formation energy without anion corrections ... -1.668 eV/atom

Lattice parameters (Å, degrees): 5.3436 5.3436 18.0572 90.00 90.00 120.00
Space group R-3 (No. 148, hexagonal axes)
Asymmetric unit:
Sr: 0.0000 0.0000 0.0000 [3 per cell]
Cd: 0.0000 0.0000 0.5000 [3 per cell]
S: 0.0000 0.0000 0.2153 [6 per cell]
O: 0.0465 0.6174 0.9169 [18 per cell]

***

Entry from the Alexandria database: a relaxed Pa2Ta3Ge4 crystal (GGA-PBE).

DFT formation energy ... -4.3 eV/f.u.

Lattice parameters (Å, degrees): 7.181 7.182 7.090 90.00 110.04 90.00
Space group P2_1/c (No. 14)
Asymmetric unit:
Pa: 0.188 0.170 0.057 [4 per cell]
Ta: 0.248 0.664 0.247 [4 per cell]
Ta: 0.500 0.000 0.500 [2 per cell]
Ge: 0.087 0.545 0.855 [4 per cell]
Ge: 0.499 0.635 0.634 [4 per cell]

***

Entry from the Alexandria database: a relaxed PPtCl crystal (GGA-PBE).

Energy relative to the lowest polymorph listed for this composition ... 0.301 eV per formula unit
Formation energy without anion corrections ... -0.272 eV/atom

Lattice parameters (Å, degrees): 3.334 3.334 11.541 90.00 90.00 90.00
Space group I4mm (No. 107)
Asymmetric unit:
P: 0.000 0.000 0.000 [2 per cell]
Pt: 0.000 0.000 0.544 [2 per cell]
Cl: 0.000 0.000 0.821 [2 per cell]

***

Entry from the Alexandria database: a relaxed Li2CaCu crystal (GGA-PBE).

Energy relative to the lowest polymorph listed for this composition ... 0.197 eV per formula unit
DFT formation energy ... 0.1 eV/f.u.

Lattice parameters (Å, degrees): 3.487 3.545 6.873 90.00 90.00 90.00
Space group Pmm2 (No. 25)
Asymmetric unit:
Li: 0.000 0.000 0.000 [1 per cell]
Li: 0.500 0.500 0.209 [1 per cell]
Ca: 0.500 0.500 0.647 [1 per cell]
Cu: 0.000 0.000 0.389 [1 per cell]